Density functional theory data (PBE-GGA) for a geometry-optimized SiAsN structure.

The space group is P-1 (No. 2) and the conventional cell measures 3.7327, 5.2106 and 5.7444 Å, with angles of 89.90, 89.96 and 83.49 degrees. The asymmetric unit holds Si at (0.9997, 0.0002, 0.2264), As at (0.2160, 0.2959, 0.4996) and N at (0.3248, 0.9598, 0.0001).

Its energy is -36.44 eV/cell. The density of states at the Fermi level comes out at 0.072 states/eV per atom. As for the total magnetization: 0.0 μB/f.u.